A relaxed NpSn3Pd12 crystal, computed with PBE-GGA.

Unit cell a=4.067 b=4.067 c=16.243 alpha=90.00 beta=90.00 gamma=90.00
Sites, in units of the cell vectors:
Np 0.000 0.000 0.000
Sn 0.000 0.000 0.254
Sn 0.000 0.000 0.500
Sn 0.000 0.000 0.746
Pd 0.000 0.500 0.128
Pd 0.000 0.500 0.376
Pd 0.000 0.500 0.624
Pd 0.000 0.500 0.872
Pd 0.500 0.000 0.128
Pd 0.500 0.000 0.376
Pd 0.500 0.000 0.624
Pd 0.500 0.000 0.872
Pd 0.500 0.500 0.000
Pd 0.500 0.500 0.253
Pd 0.500 0.500 0.500
Pd 0.500 0.500 0.747

## Properties
VASP energy (eV for the cell shown): -95.1

A relaxed NpSnPd crystal, computed with PBE-GGA.

Unit cell a=6.601 b=6.601 c=6.601 alpha=151.91 beta=151.91 gamma=40.14
Sites, in units of the cell vectors:
Np 0.000 0.000 0.000
Sn 0.305 0.305 0.000
Pd 0.670 0.670 0.000

## Properties
VASP energy (eV for the cell shown): -22.6

A relaxed Np4SnPd15 crystal, computed with PBE-GGA.

Unit cell a=4.126 b=4.126 c=20.610 alpha=90.00 beta=90.00 gamma=90.00
Sites, in units of the cell vectors:
Np 0.000 0.000 0.101
Np 0.000 0.000 0.304
Np 0.000 0.000 0.696
Np 0.000 0.000 0.899
Sn 0.000 0.000 0.500
Pd 0.000 0.500 0.000
Pd 0.000 0.500 0.202
Pd 0.000 0.500 0.403
Pd 0.000 0.500 0.597
Pd 0.000 0.500 0.798
Pd 0.500 0.000 0.000
Pd 0.500 0.000 0.202
Pd 0.500 0.000 0.403
Pd 0.500 0.000 0.597
Pd 0.500 0.000 0.798
Pd 0.500 0.500 0.101
Pd 0.500 0.500 0.304
Pd 0.500 0.500 0.500
Pd 0.500 0.500 0.696
Pd 0.500 0.500 0.899

## Properties
VASP energy (eV for the cell shown): -142.6

A relaxed NpSn2Pd crystal, computed with PBE-GGA.

Unit cell a=3.314 b=3.314 c=7.981 alpha=90.00 beta=90.00 gamma=90.00
Sites, in units of the cell vectors:
Np 0.000 0.000 0.000
Sn 0.500 0.500 0.288
Sn 0.500 0.500 0.712
Pd 0.000 0.000 0.500

## Properties
Relative energy among the computed polymorphs (kJ/mol of formula units): 0